# FeCo2BN

FeCo2BN at its PBEsol-relaxed geometry (meta-GGA SCAN, the Alexandria database).

Output
Uncorrected formation energy, meV per atom: 1475
Crystal system: tetragonal
SG: No. 123
E_tot, eV/cell: -62.09
Density, Mg/m³: 5.4

abc: 3.3052 4.3090 4.3090
angles: 90.00 90.00 90.00
Closest atoms and distances in Å follow each position.
Fractional positions:
B 0.5000 0.5000 0.5000  8 Co 2.72
Co 0.0000 0.0000 0.5000  2 Fe 2.15
Co 0.0000 0.5000 0.0000  2 Fe 2.15
Fe 0.0000 0.0000 0.0000  2 N 1.65
N 0.5000 0.0000 0.0000  2 Fe 1.65

# SbPb3

SbPb3 at its PBEsol-relaxed geometry (meta-GGA SCAN, the Alexandria database).

Output
Uncorrected formation energy, meV per atom: 72
Crystal system: orthorhombic
SG: No. 59
E_tot, eV/cell: -1585.91
Density, Mg/m³: 10.6

abc: 6.0582 6.7641 17.0583
angles: 90.00 90.00 90.00
Closest atoms and distances in Å follow each position.
Fractional positions:
Pb 0.1459 0.7510 0.1657  8 Pb 3.37-3.51, 4 Sb 3.46-3.54
Pb 0.1459 0.7510 0.8343  8 Pb 3.37-3.51, 4 Sb 3.46-3.54
Pb 0.5174 0.7495 0.5000  8 Pb 3.37-3.52, 4 Sb 3.41-3.53
Pb 0.4826 0.7505 0.0000  8 Pb 3.37-3.52, 4 Sb 3.41-3.53
Pb 0.8541 0.7490 0.6657  8 Pb 3.37-3.51, 4 Sb 3.46-3.54
Pb 0.8541 0.7490 0.3343  8 Pb 3.37-3.51, 4 Sb 3.46-3.54
Pb 0.9732 0.0000 0.0000  4 Sb 3.38-3.48, 8 Pb 3.42-3.52
Pb 0.3533 0.0000 0.6698  4 Sb 3.29-3.50, 8 Pb 3.47-3.51
Pb 0.3533 0.0000 0.3302  4 Sb 3.29-3.50, 8 Pb 3.47-3.51
Pb 0.1459 0.2490 0.1657  8 Pb 3.37-3.51, 4 Sb 3.46-3.54
Pb 0.1459 0.2490 0.8343  8 Pb 3.37-3.51, 4 Sb 3.46-3.54
Pb 0.5174 0.2505 0.5000  8 Pb 3.37-3.52, 4 Sb 3.41-3.53
Pb 0.4826 0.2495 0.0000  8 Pb 3.37-3.52, 4 Sb 3.41-3.53
Pb 0.8541 0.2510 0.6657  8 Pb 3.37-3.51, 4 Sb 3.46-3.54
Pb 0.8541 0.2510 0.3343  8 Pb 3.37-3.51, 4 Sb 3.46-3.54
Pb 0.0268 0.5000 0.5000  4 Sb 3.38-3.48, 8 Pb 3.42-3.52
Pb 0.6467 0.5000 0.1698  4 Sb 3.29-3.50, 8 Pb 3.47-3.51
Pb 0.6467 0.5000 0.8302  4 Sb 3.29-3.50, 8 Pb 3.47-3.51
Sb 0.0287 0.0000 0.5000  12 Pb 3.38-3.53
Sb 0.6460 0.0000 0.1678  12 Pb 3.29-3.54
Sb 0.6460 0.0000 0.8322  12 Pb 3.29-3.54
Sb 0.9713 0.5000 0.0000  12 Pb 3.38-3.53
Sb 0.3540 0.5000 0.6677  12 Pb 3.29-3.54
Sb 0.3540 0.5000 0.3323  12 Pb 3.29-3.54

# K3Ir

K3Ir at its PBEsol-relaxed geometry (meta-GGA SCAN, the Alexandria database).

Output
Energy relative to the elements, eV per formula unit: 3.770
Crystal system: trigonal
SG: No. 166
Excess energy over the best structure of this formula in the dataset, meV per atom: 221.7
E_tot, eV/cell: -92.32
Density, Mg/m³: 4.2

abc: 3.9265 6.1311 6.1311
angles: 115.57 102.33 102.33
Closest atoms and distances in Å follow each position.
Fractional positions:
Ir 0.0000 0.0000 0.0000  6 K 3.27
K 0.0000 0.5000 0.5000  4 K 3.27, 2 Ir 3.27
K 0.5000 0.0000 0.5000  2 Ir 3.27, 4 K 3.27
K 0.5000 0.5000 0.0000  4 K 3.27, 2 Ir 3.27

# ScAl2Tc

ScAl2Tc at its PBEsol-relaxed geometry (meta-GGA SCAN, the Alexandria database).

Output
Energy relative to the elements, eV per formula unit: -1.724
Crystal system: cubic
SG: No. 225
Excess energy over the best structure of this formula in the dataset, meV per atom: 41.0
E_tot, eV/cell: -66.53
Density, Mg/m³: 5.3

abc: 4.4486 4.4486 4.4486
angles: 60.00 60.00 60.00
Closest atoms and distances in Å follow each position.
Fractional positions:
Sc 0.0000 0.0000 0.0000  8 Al 2.72
Tc 0.5000 0.5000 0.5000  8 Al 2.72
Al 0.2500 0.2500 0.2500  4 Tc 2.72, 4 Sc 2.72
Al 0.7500 0.7500 0.7500  4 Sc 2.72, 4 Tc 2.72

- Which value of E_tot does entry 2 give?
  -1585.91 eV/cell